[1]
This record from Alexandria via LeMat-Bulk describes GeMo3Pd at its PBEsol-relaxed geometry. The functional is SCAN.

ρ	7.7	Mg/m³
formation energy from the elements	2.04	eV per atom

a b c (Å): 4.654 4.654 4.654
angles (deg): 90.00 90.00 90.00
Space group Pm-3m (No. 221)
Inequivalent atoms, fractional coordinates:
Ge  0.000  0.000  0.000
Mo  0.000  0.500  0.500
Pd  0.500  0.500  0.500

***

[2]
This record from Alexandria via LeMat-Bulk describes GeMo3Pd at its PBEsol-relaxed geometry. The functional is SCAN.

ρ	8.5	Mg/m³
formation energy from the elements	1.46	eV per atom

a b c (Å): 4.510 4.510 4.510
angles (deg): 90.00 90.00 90.00
Space group Pm-3m (No. 221)
Inequivalent atoms, fractional coordinates:
Ge  0.000  0.000  0.000
Mo  0.000  0.000  0.500
Pd  0.500  0.500  0.500

***

[3]
This record from Alexandria via LeMat-Bulk describes Ge2MoPt at its PBEsol-relaxed geometry. The functional is SCAN.

ρ	12.3	Mg/m³
formation energy from the elements	-0.07	eV per atom

a b c (Å): 6.179 6.179 6.179
angles (deg): 90.00 90.00 90.00
Space group Fm-3m (No. 225)
Inequivalent atoms, fractional coordinates:
Ge  0.250  0.250  0.250
Mo  0.000  0.000  0.000
Pt  0.000  0.000  0.500